Density functional theory data (GGA-PBE) for a relaxed RbVSb2Te crystal.

Output
The space group is P4/mmm. The volume is 42.68 Å³/atom. The value obtained for the raw formation energy is 1.70 eV per atom.

Cell: 5.9169 5.9169 6.0956 Å, 90.00 90.00 90.00°
Fractional positions:
1 Sb 0.0000 0.5000 0.0000
2 Sb 0.5000 0.0000 0.0000
3 Te 0.0000 0.0000 0.5000
4 Rb 0.0000 0.0000 0.0000
5 V 0.5000 0.5000 0.5000

Density functional theory data (GGA-PBE) for a relaxed Ac4GeSe3 crystal.

Output
The space group is Cmmm. The volume is 32.64 Å³/atom. The value obtained for the raw formation energy is -1.66 eV per atom.

Cell: 4.5316 7.8214 7.8214 Å, 109.61 90.00 90.00°
Fractional positions:
1 Ac 0.0000 0.7579 0.7579
2 Ac 0.5000 0.2450 0.7550
3 Ac 0.0000 0.2421 0.2421
4 Ac 0.5000 0.7550 0.2450
5 Ge 0.5000 0.0000 0.0000
6 Se 0.0000 0.0000 0.5000
7 Se 0.5000 0.5000 0.5000
8 Se 0.0000 0.5000 0.0000

Density functional theory data (GGA-PBE) for a relaxed TaSi3Rh crystal.

Output
The space group is Pm-3m. The volume is 22.04 Å³/atom. The value obtained for the raw formation energy is 1.11 eV per atom.

Cell: 4.7945 4.7945 4.7945 Å, 90.00 90.00 90.00°
Fractional positions:
1 Si 0.0000 0.5000 0.0000
2 Si 0.0000 0.0000 0.5000
3 Si 0.5000 0.0000 0.0000
4 Rh 0.5000 0.5000 0.5000
5 Ta 0.0000 0.0000 0.0000

Density functional theory data (GGA-PBE) for a relaxed Mn5GaPd6 crystal.

Output
The space group is Immm. The value obtained for the formation energy is -275 meV per atom. The volume is 15.10 Å³/atom.

Cell: 4.5070 7.7220 7.7220 Å, 122.23 106.96 106.97°
Fractional positions:
1 Mn 0.5000 0.1699 0.8301
2 Mn 0.0000 0.3333 0.6667
3 Mn 0.5000 0.5000 0.5000
4 Mn 0.0000 0.6667 0.3333
5 Mn 0.5000 0.8301 0.1699
6 Pd 0.2486 0.0839 0.4130
7 Pd 0.7514 0.5870 0.9161
8 Pd 0.7472 0.2473 0.2473
9 Pd 0.2528 0.7527 0.7527
10 Pd 0.2486 0.4130 0.0839
11 Pd 0.7514 0.9161 0.5870
12 Ga 0.0000 0.0000 0.0000

Density functional theory data (GGA-PBE) for a relaxed K2LaSmS4 crystal.

Output
The space group is P2/m. The volume is 28.44 Å³/atom. The value obtained for the raw formation energy is -1.89 eV per atom.

Cell: 4.2182 7.3094 7.7709 Å, 108.24 90.00 90.00°
Fractional positions:
1 K 0.5000 0.0000 0.5000
2 K 0.0000 0.5000 0.5000
3 La 0.0000 0.0000 0.0000
4 Sm 0.5000 0.5000 0.0000
5 S 0.5000 0.2421 0.2074
6 S 0.5000 0.7579 0.7926
7 S 0.0000 0.2707 0.7943
8 S 0.0000 0.7293 0.2057

Density functional theory data (GGA-PBE) for a relaxed Tb2SmBi crystal.

Output
The space group is P4/mmm. The value obtained for the formation energy is -348 meV per atom. The volume is 30.76 Å³/atom.

Cell: 4.0776 4.0776 7.4006 Å, 90.00 90.00 90.00°
Fractional positions:
1 Tb 0.0000 0.0000 0.7257
2 Tb 0.0000 0.0000 0.2743
3 Bi 0.5000 0.5000 0.5000
4 Sm 0.5000 0.5000 0.0000

Density functional theory data (GGA-PBE) for a relaxed HoCuNiPd crystal.

Output
The space group is F-43m. The value obtained for the formation energy is -359 meV per atom. The volume is 16.24 Å³/atom.

Cell: 4.5125 4.5125 4.5125 Å, 60.00 60.00 60.00°
Fractional positions:
1 Ni 0.2500 0.2500 0.2500
2 Cu 0.5000 0.5000 0.5000
3 Ho 0.0000 0.0000 0.0000
4 Pd 0.7500 0.7500 0.7500

Density functional theory data (GGA-PBE) for a relaxed Li2CaRh crystal.

Output
The space group is C2/m. The value obtained for the formation energy is -146 meV per atom. The volume is 19.53 Å³/atom.

Cell: 5.7486 5.7486 4.7302 Å, 66.30 66.30 33.41°
Fractional positions:
1 Ca 0.7500 0.7500 0.7500
2 Rh 0.2500 0.2500 0.2500
3 Li 0.9595 0.9595 0.0423
4 Li 0.5405 0.5405 0.4577

Density functional theory data (GGA-PBE) for a relaxed Be2ReIr crystal.

Output
The space group is Imm2. The value obtained for the formation energy is -157 meV per atom. The volume is 11.50 Å³/atom.

Cell: 4.7997 4.7997 4.7997 Å, 145.68 131.84 60.46°
Fractional positions:
1 Re 0.2441 0.7441 0.5000
2 Ir 0.5115 0.5115 0.0000
3 Be 0.9844 0.9844 0.0000
4 Be 0.7600 0.2600 0.5000

Density functional theory data (GGA-PBE) for a relaxed CaVPd3 crystal.

Output
The space group is Pm-3m. The value obtained for the formation energy is 61 meV per atom. The volume is 21.09 Å³/atom.

Cell: 4.7246 4.7246 4.7246 Å, 90.00 90.00 90.00°
Fractional positions:
1 Ca 0.5000 0.5000 0.5000
2 Pd 0.0000 0.5000 0.0000
3 Pd 0.0000 0.0000 0.5000
4 Pd 0.5000 0.0000 0.0000
5 V 0.0000 0.0000 0.0000

Density functional theory data (GGA-PBE) for a relaxed GdPu2Ag crystal.

Output
The space group is Fm-3m. The value obtained for the formation energy is 288 meV per atom. The volume is 24.97 Å³/atom.

Cell: 5.2069 5.2069 5.2090 Å, 60.01 60.01 60.00°
Fractional positions:
1 Gd 0.0000 0.0000 0.0000
2 Ag 0.5000 0.5000 0.5000
3 Pu 0.7500 0.7500 0.7499
4 Pu 0.2500 0.2500 0.2501

Density functional theory data (GGA-PBE) for a relaxed Ce2SmGe3Ir4 crystal.

Output
The space group is P-4m2. The value obtained for the formation energy is -734 meV per atom. The volume is 19.97 Å³/atom.

Cell: 4.1760 4.1760 11.4529 Å, 90.00 90.00 90.00°
Fractional positions:
1 Ce 0.5000 0.0000 0.2286
2 Ce 0.0000 0.5000 0.7714
3 Sm 0.5000 0.5000 0.5000
4 Ge 0.0000 0.0000 0.5000
5 Ge 0.5000 0.0000 0.8802
6 Ge 0.0000 0.5000 0.1198
7 Ir 0.5000 0.5000 0.0000
8 Ir 0.0000 0.0000 0.0000
9 Ir 0.5000 0.0000 0.6668
10 Ir 0.0000 0.5000 0.3332

Density functional theory data (GGA-PBE) for a relaxed Nd2NpTl3Te6 crystal.

Output
The space group is C2/m. The volume is 36.62 Å³/atom. The value obtained for the raw formation energy is -0.90 eV per atom.

Cell: 7.8726 7.8726 8.5833 Å, 98.77 98.77 119.86°
Fractional positions:
1 Nd 0.3341 0.6659 0.0000
2 Nd 0.6659 0.3341 0.0000
3 Np 0.0000 0.0000 0.0000
4 Tl 0.1683 0.8317 0.5000
5 Tl 0.8317 0.1683 0.5000
6 Tl 0.5000 0.5000 0.5000
7 Te 0.9268 0.5977 0.7813
8 Te 0.7443 0.7443 0.2203
9 Te 0.0732 0.4023 0.2187
10 Te 0.5977 0.9268 0.7813
11 Te 0.2557 0.2557 0.7797
12 Te 0.4023 0.0732 0.2187

Density functional theory data (GGA-PBE) for a relaxed LaHoInRh crystal.

Output
The space group is F-43m. The value obtained for the formation energy is -483 meV per atom. The volume is 25.17 Å³/atom.

Cell: 5.2216 5.2216 5.2216 Å, 60.00 60.00 60.00°
Fractional positions:
1 In 0.5000 0.5000 0.5000
2 Rh 0.0000 0.0000 0.0000
3 Ho 0.2500 0.2500 0.2500
4 La 0.7500 0.7500 0.7500

Density functional theory data (GGA-PBE) for a relaxed CaMn2SbP crystal.

Output
The space group is P4/mmm. The volume is 26.48 Å³/atom. The value obtained for the raw formation energy is 1.37 eV per atom.

Cell: 5.1129 5.1129 5.0643 Å, 90.00 90.00 90.00°
Fractional positions:
1 Sb 0.5000 0.5000 0.5000
2 Ca 0.0000 0.0000 0.0000
3 Mn 0.0000 0.5000 0.0000
4 Mn 0.5000 0.0000 0.0000
5 P 0.0000 0.0000 0.5000

Density functional theory data (GGA-PBE) for a relaxed DyPu2Au crystal.

Output
The space group is R-3m. The value obtained for the formation energy is 41 meV per atom. The volume is 27.21 Å³/atom.

Cell: 3.4379 3.4379 10.8168 Å, 80.86 80.86 60.00°
Fractional positions:
1 Dy 0.5000 0.5000 0.5000
2 Au 0.0000 0.0000 0.0000
3 Pu 0.2585 0.2585 0.2244
4 Pu 0.7415 0.7415 0.7756

Density functional theory data (GGA-PBE) for a relaxed NpScU crystal.

Output
The space group is C2/m. The value obtained for the formation energy is 149 meV per atom. The volume is 21.96 Å³/atom.

Cell: 4.6663 3.4809 10.9320 Å, 90.32 90.00 132.09°
Fractional positions:
1 Np 0.2232 0.4463 0.0925
2 Np 0.7768 0.5537 0.9075
3 Sc 0.2470 0.4940 0.4021
4 Sc 0.7530 0.5060 0.5979
5 U 0.2091 0.4183 0.8082
6 U 0.7909 0.5817 0.1918

Density functional theory data (GGA-PBE) for a relaxed K2HO crystal.

Output
The space group is I-42d. The volume is 28.93 Å³/atom. For the uncorrected energy, the calculation gives -2.965 eV/atom.

Cell: 5.9366 5.9366 7.7934 Å, 67.61 67.61 90.00°
Fractional positions:
1 H 0.5000 0.5000 0.0000
2 H 0.2500 0.7500 0.5000
3 K 0.6426 0.1250 0.2500
4 K 0.1074 0.6250 0.2500
5 K 0.3750 0.3574 0.7500
6 K 0.8750 0.8926 0.7500
7 O 0.0000 0.0000 0.0000
8 O 0.7500 0.2500 0.5000

Density functional theory data (GGA-PBE) for a relaxed Ba2CdHg4Bi2 crystal.

Output
The space group is I4/mmm. The value obtained for the formation energy is -409 meV per atom. The volume is 32.72 Å³/atom.

Cell: 7.5534 7.5534 7.5534 Å, 86.42 122.09 122.09°
Fractional positions:
1 Ba 0.5000 0.7500 0.2500
2 Ba 0.5000 0.2500 0.7500
3 Cd 0.0000 0.0000 0.0000
4 Hg 0.0000 0.7178 0.2822
5 Hg 0.4356 0.7178 0.7178
6 Hg 0.0000 0.2822 0.7178
7 Hg 0.5644 0.2822 0.2822
8 Bi 0.0000 0.7244 0.7244
9 Bi 0.0000 0.2756 0.2756

Density functional theory data (GGA-PBE) for a relaxed LiTcPb2 crystal.

Output
The space group is Pmmm. The value obtained for the formation energy is 453 meV per atom. The volume is 21.22 Å³/atom.

Cell: 3.4848 5.5447 4.3933 Å, 90.00 90.00 90.00°
Fractional positions:
1 Li 0.0000 0.5000 0.5000
2 Pb 0.0000 0.0000 0.0000
3 Pb 0.5000 0.5000 0.0000
4 Tc 0.5000 0.0000 0.5000